# 1
The following is a PBE-GGA calculation of Ru4PtW after structural relaxation, from the Alexandria database.

abc: 5.0447 5.0447 5.0447
angles: 60.00 60.00 60.00
Positions (direct):
W  0.7500  0.7500  0.7500
Ru  0.3745  0.8766  0.3745
Ru  0.8766  0.3745  0.3745
Pt  0.0000  0.0000  0.0000
Ru  0.3745  0.3745  0.3745
Ru  0.3745  0.3745  0.8766

Crystal system: cubic
Space group: No. 216
Energy of formation from the pure elements (eV/f.u.): 2.3
E (eV for the cell shown): -53.76

=====

# 2
The following is a PBE-GGA calculation of RuPtW after structural relaxation, from the Alexandria database.

abc: 4.2242 4.2242 4.2242
angles: 60.00 60.00 60.00
Positions (direct):
Pt  0.0000  0.0000  0.0000
Ru  0.5000  0.5000  0.5000
W  0.7500  0.7500  0.7500

Crystal system: cubic
Distance to the lowest polymorph of the same formula (eV/atom): 0.372
Space group: No. 216
Energy of formation from the pure elements (eV/f.u.): 0.6
E (eV for the cell shown): -27.64

=====

# 3
The following is a PBE-GGA calculation of Ru2Pt4W after structural relaxation, from the Alexandria database.

abc: 3.9253 4.7774 6.2768
angles: 98.14 90.00 65.74
Positions (direct):
W  0.0000  0.0000  0.0000
Pt  0.5669  0.8662  0.2762
Pt  0.8536  0.2927  0.4211
Ru  0.7128  0.5745  0.8688
Ru  0.2872  0.4255  0.1312
Pt  0.1464  0.7073  0.5789
Pt  0.4331  0.1338  0.7238

Crystal system: monoclinic
Space group: No. 12
Energy of formation from the pure elements (eV/f.u.): -1.0
E (eV for the cell shown): -56.66

=====

# 4
The following is a PBE-GGA calculation of Ru3PtW after structural relaxation, from the Alexandria database.

abc: 4.6349 4.6349 4.6349
angles: 90.00 90.00 90.00
Positions (direct):
Ru  0.0000  0.0000  0.5000
W  0.5000  0.5000  0.5000
Ru  0.5000  0.0000  0.0000
Ru  0.0000  0.5000  0.0000
Pt  0.0000  0.0000  0.0000

Crystal system: cubic
Distance to the lowest polymorph of the same formula (eV/atom): 1.084
Space group: No. 221
Energy of formation from the pure elements (eV/f.u.): 11.9
E (eV for the cell shown): -34.94

=====

# 5
The following is a PBE-GGA calculation of RuPt2W2 after structural relaxation, from the Alexandria database.

abc: 4.6129 4.6128 4.5534
angles: 71.36 71.35 68.15
Positions (direct):
W  0.3174  0.8176  0.0912
Pt  0.7422  0.7577  0.5001
Ru  0.0000  0.5000  0.0000
Pt  0.2578  0.2423  0.4999
W  0.6826  0.1824  0.9088

Crystal system: monoclinic
Distance to the lowest polymorph of the same formula (eV/atom): 0.244
Space group: No. 12
Energy of formation from the pure elements (eV/f.u.): 1.2
E (eV for the cell shown): -46.09

=====

# 6
The following is a PBE-GGA calculation of RuPt3W4 after structural relaxation, from the Alexandria database.

abc: 2.7302 4.8214 9.6834
angles: 90.00 90.00 90.00
Positions (direct):
Pt  0.5000  0.5000  0.5000
Ru  0.5000  0.5000  0.0000
Pt  0.5000  0.0000  0.2536
W  0.0000  0.5000  0.7609
Pt  0.5000  0.0000  0.7464
W  0.0000  0.0000  0.5000
W  0.0000  0.5000  0.2391
W  0.0000  0.0000  0.0000

Crystal system: orthorhombic
Space group: No. 47
Energy of formation from the pure elements (eV/f.u.): 1.3
E (eV for the cell shown): -77.93

=====

# 7
The following is a PBE-GGA calculation of RuPtW after structural relaxation, from the Alexandria database.

abc: 4.9071 4.9071 4.9071
angles: 140.94 140.94 56.43
Positions (direct):
Ru  0.3206  0.3206  0.0000
W  0.6747  0.6747  0.0000
Pt  0.0047  0.0047  0.0000

Crystal system: tetragonal
Distance to the lowest polymorph of the same formula (eV/atom): 0.194
Space group: No. 107
Energy of formation from the pure elements (eV/f.u.): 0.1
E (eV for the cell shown): -28.18

=====

# 8
The following is a PBE-GGA calculation of Ru2Pt2W3 after structural relaxation, from the Alexandria database.

abc: 4.1485 2.7459 9.6370
angles: 90.00 77.57 90.00
Positions (direct):
W  0.8470  0.0000  0.3060
Pt  0.5720  0.5000  0.8560
Ru  0.7131  0.5000  0.5738
W  0.0000  0.0000  0.0000
Pt  0.4280  0.5000  0.1440
W  0.1530  0.0000  0.6940
Ru  0.2869  0.5000  0.4262

Crystal system: orthorhombic
Space group: No. 65
Energy of formation from the pure elements (eV/f.u.): -0.2
E (eV for the cell shown): -69.71

=====

# 9
The following is a PBE-GGA calculation of RuPtW after structural relaxation, from the Alexandria database.

abc: 4.8328 4.8328 4.8328
angles: 146.96 132.01 59.50
Positions (direct):
Ru  0.6700  0.6700  0.0000
Pt  0.0007  0.0007  0.0000
W  0.3293  0.3293  0.0000

Crystal system: orthorhombic
Distance to the lowest polymorph of the same formula (eV/atom): 0.033
Space group: No. 44
Energy of formation from the pure elements (eV/f.u.): -0.4
E (eV for the cell shown): -28.66

=====

# 10
The following is a PBE-GGA calculation of RuPt4W after structural relaxation, from the Alexandria database.

abc: 4.8183 4.8184 4.8317
angles: 80.13 80.13 119.75
Positions (direct):
Pt  0.8344  0.6665  0.0014
Ru  0.9981  0.5027  0.5013
Pt  0.3353  0.1655  0.5013
Pt  0.6610  0.8399  0.5013
W  0.4982  0.0028  0.0013
Pt  0.1619  0.3390  0.0013

Crystal system: monoclinic
Distance to the lowest polymorph of the same formula (eV/atom): 0.000
Space group: No. 12
Energy of formation from the pure elements (eV/f.u.): -1.2
E (eV for the cell shown): -47.60

=====

# 11
The following is a PBE-GGA calculation of RuPt4W after structural relaxation, from the Alexandria database.

abc: 5.1632 5.1632 5.1632
angles: 60.00 60.00 60.00
Positions (direct):
Pt  0.3751  0.3751  0.3751
Ru  0.7500  0.7500  0.7500
W  0.0000  0.0000  0.0000
Pt  0.3751  0.8747  0.3751
Pt  0.3751  0.3751  0.8747
Pt  0.8747  0.3751  0.3751

Crystal system: cubic
Distance to the lowest polymorph of the same formula (eV/atom): 0.535
Space group: No. 216
Energy of formation from the pure elements (eV/f.u.): 2.0
E (eV for the cell shown): -44.39

=====

# 12
The following is a PBE-GGA calculation of RuPt2W2 after structural relaxation, from the Alexandria database.

abc: 4.2254 5.4727 7.0637
angles: 90.00 107.40 90.00
Positions (direct):
W  0.8046  0.1268  0.6092
Pt  0.9963  0.1186  0.9927
Ru  0.6076  0.3865  0.2153
Pt  0.1960  0.1286  0.3919
Pt  0.8040  0.6286  0.6081
W  0.1954  0.6268  0.3908
W  0.3956  0.3739  0.7912
Pt  0.0037  0.6186  0.0073
W  0.6044  0.8739  0.2088
Ru  0.3924  0.8865  0.7847

Crystal system: orthorhombic
Distance to the lowest polymorph of the same formula (eV/atom): 0.000
Space group: No. 36
Energy of formation from the pure elements (eV/f.u.): 0.0
E (eV for the cell shown): -94.62

=====

Please write out number 6 again, unchanged.
The following is a PBE-GGA calculation of RuPt3W4 after structural relaxation, from the Alexandria database.

abc: 2.7302 4.8214 9.6834
angles: 90.00 90.00 90.00
Positions (direct):
Pt  0.5000  0.5000  0.5000
Ru  0.5000  0.5000  0.0000
Pt  0.5000  0.0000  0.2536
W  0.0000  0.5000  0.7609
Pt  0.5000  0.0000  0.7464
W  0.0000  0.0000  0.5000
W  0.0000  0.5000  0.2391
W  0.0000  0.0000  0.0000

Crystal system: orthorhombic
Space group: No. 47
Energy of formation from the pure elements (eV/f.u.): 1.3
E (eV for the cell shown): -77.93